Here is an optimized crystal structure of K3TmV2O8 from Alexandria. Energies are from PBE with a Hubbard U.

abc: 5.9673 5.9673 7.6605
angles: 90.00 90.00 120.00
Fractional positions:
O: 0.1731 0.3462 0.6728
K: 0.0000 0.0000 0.0000
V: 0.3333 0.6667 0.7534
O: 0.6538 0.8269 0.6728
O: 0.8269 0.1731 0.3272
K: 0.3333 0.6667 0.3102
O: 0.3333 0.6667 0.9727
O: 0.1731 0.8269 0.6728
O: 0.3462 0.1731 0.3272
K: 0.6667 0.3333 0.6898
V: 0.6667 0.3333 0.2466
O: 0.6667 0.3333 0.0273
O: 0.8269 0.6538 0.3272
Tm: 0.0000 0.0000 0.5000

## Properties
**DFT total energy**: -6.799 eV/atom
**Space group**: P-3m1 (164)